No. 1
# RbMgSe2O, single point on PBEsol structure, DFT meta-GGA SCAN
# ρ (kg/m3): 4416
# V (Å³/atom): 21.334
# Formation energy (no corrections) (eV/atom): -0.741
# Density of states at the Fermi level (states/eV per cell): 2.17
data_RbMgSe2O
_chemical_formula_sum 'Rb1 Mg1 Se2 O1'
_cell_length_a 5.202
_cell_length_b 5.202
_cell_length_c 3.942
_cell_angle_alpha 90.00
_cell_angle_beta 90.00
_cell_angle_gamma 90.00
_symmetry_space_group_name_H-M 'P 4/m m m'
_symmetry_Int_Tables_number 123
_symmetry_space_group_name_Hall '-P 4 2'
loop_
_atom_site_label
_atom_site_type_symbol
_atom_site_fract_x
_atom_site_fract_y
_atom_site_fract_z
Rb1 Rb 0.000 0.000 0.000
Mg1 Mg 0.500 0.500 0.000
Se1 Se 0.000 0.500 0.500
O1 O 0.500 0.500 0.500


No. 2
# K2CoSi, single point on PBEsol structure, DFT meta-GGA SCAN
# ρ (kg/m3): 3073
# V (Å³/atom): 22.317
# Formation energy (no corrections) (eV/atom): 0.821
# Density of states at the Fermi level (states/eV per cell): 1.22
data_K2CoSi
_chemical_formula_sum 'K2 Co1 Si1'
_cell_length_a 3.155
_cell_length_b 5.299
_cell_length_c 5.339
_cell_angle_alpha 90.00
_cell_angle_beta 90.00
_cell_angle_gamma 90.00
_symmetry_space_group_name_H-M 'P m m m'
_symmetry_Int_Tables_number 47
_symmetry_space_group_name_Hall '-P 2 2'
loop_
_atom_site_label
_atom_site_type_symbol
_atom_site_fract_x
_atom_site_fract_y
_atom_site_fract_z
K1 K 0.000 0.000 0.249
Co1 Co 0.500 0.500 0.000
Si1 Si 0.500 0.500 0.500


No. 3
# Ce2MgS4, single point on PBEsol structure, DFT meta-GGA SCAN
# ρ (kg/m3): 5048
# V (Å³/atom): 20.338
# Formation energy (no corrections) (eV/atom): -2.029
# Density of states at the Fermi level (states/eV per cell): 13.43
data_Ce2MgS4
_chemical_formula_sum 'Ce8 Mg4 S16'
_cell_length_a 8.119
_cell_length_b 8.119
_cell_length_c 8.640
_cell_angle_alpha 90.00
_cell_angle_beta 90.00
_cell_angle_gamma 90.00
_symmetry_space_group_name_H-M 'I -4 2 d'
_symmetry_Int_Tables_number 122
_symmetry_space_group_name_Hall 'I -4 2bw'
loop_
_atom_site_label
_atom_site_type_symbol
_atom_site_fract_x
_atom_site_fract_y
_atom_site_fract_z
Ce1 Ce 0.123 0.750 0.125
Mg1 Mg 0.000 0.000 0.500
S1 S 0.073 0.693 0.448


No. 4
# LaSiPd2Br, single point on PBEsol structure, DFT meta-GGA SCAN
# ρ (kg/m3): 6490
# V (Å³/atom): 23.526
# Formation energy (no corrections) (eV/atom): -0.597
# Density of states at the Fermi level (states/eV per cell): 4.05
data_LaSiPd2Br
_chemical_formula_sum 'La1 Si1 Pd2 Br1'
_cell_length_a 4.469
_cell_length_b 4.469
_cell_length_c 5.889
_cell_angle_alpha 90.00
_cell_angle_beta 90.00
_cell_angle_gamma 90.00
_symmetry_space_group_name_H-M 'P 4/m m m'
_symmetry_Int_Tables_number 123
_symmetry_space_group_name_Hall '-P 4 2'
loop_
_atom_site_label
_atom_site_type_symbol
_atom_site_fract_x
_atom_site_fract_y
_atom_site_fract_z
La1 La 0.000 0.000 0.000
Si1 Si 0.000 0.000 0.500
Pd1 Pd 0.000 0.500 0.500
Br1 Br 0.500 0.500 0.000